A PBEsol-optimized structure of LiPPt2. Source: Alexandria, functional meta-GGA SCAN.

Structure (extended XYZ):
```
4
Lattice="2.9044 0.0000 0.0000 0.0000 2.9044 0.0000 0.0000 0.0000 6.5914" Properties=species:S:1:pos:R:3 pbc="T T T"
P 1.4522 1.4522 3.2957
Pt 0.0000 0.0000 4.8047
Pt 0.0000 0.0000 1.7867
Li 1.4522 1.4522 0.0000
```

Results
Density of states at the Fermi level   1.43 states/eV per cell
Total energy   -38.58 eV per atom
Formation enthalpy at 0 K   -286 meV/atom